# 1
# Mg2PBrCl PBEsol optimized geometry
data_Mg2PBrCl
_chemical_formula_sum 'Mg2 P1 Br1 Cl1'
_space_group_name_H-M_alt 'P 4/m m m'
_space_group_IT_number 123
_space_group_name_Hall '-P 4 2'
_cell_length_a 4.964
_cell_length_b 4.964
_cell_length_c 4.872
_cell_angle_alpha 90.00
_cell_angle_beta 90.00
_cell_angle_gamma 90.00
loop_
_atom_site_label
_atom_site_fract_x
_atom_site_fract_y
_atom_site_fract_z
Mg1 0.000 0.500 0.000
P1 0.000 0.000 0.000
Br1 0.500 0.500 0.500
Cl1 0.000 0.000 0.500
# Formation energy without anion corrections   -0.480 eV per atom



# 2
# TaBeAlTc2 PBEsol optimized geometry
data_TaBeAlTc2
_chemical_formula_sum 'Ta1 Be1 Al1 Tc2'
_space_group_name_H-M_alt 'P 4/m m m'
_space_group_IT_number 123
_space_group_name_Hall '-P 4 2'
_cell_length_a 4.122
_cell_length_b 4.122
_cell_length_c 4.290
_cell_angle_alpha 90.00
_cell_angle_beta 90.00
_cell_angle_gamma 90.00
loop_
_atom_site_label
_atom_site_fract_x
_atom_site_fract_y
_atom_site_fract_z
Ta1 0.000 0.000 0.000
Be1 0.000 0.000 0.500
Al1 0.500 0.500 0.000
Tc1 0.000 0.500 0.500
# E_form   0.472 eV/atom



# 3
# LiSi2Rh PBEsol optimized geometry
data_LiSi2Rh
_chemical_formula_sum 'Li2 Si4 Rh2'
_space_group_name_H-M_alt 'I 4/m m m'
_space_group_IT_number 139
_space_group_name_Hall '-I 4 2'
_cell_length_a 3.905
_cell_length_b 3.905
_cell_length_c 6.514
_cell_angle_alpha 90.00
_cell_angle_beta 90.00
_cell_angle_gamma 90.00
loop_
_atom_site_label
_atom_site_fract_x
_atom_site_fract_y
_atom_site_fract_z
Li1 0.000 0.000 0.000
Si1 0.000 0.500 0.250
Rh1 0.000 0.000 0.500
# Energy above the lowest structure with this stoichiometry   0 meV per atom
# Formation energy without anion corrections   -0.496 eV per atom



no.,N(E_F) (states/eV per atom)
1,0.258
2,0.868
3,0.206